Computed, not measured: a PBEsol-optimized structure of BaCaSe at the meta-GGA SCAN level of DFT.

Results
calculated total energy: -1.7770 Ry per atom
space-group type: F-43m, No. 216
raw formation energy: -1079 meV per atom

```
data_BaCaSe
_chemical_formula_sum 'Ba1 Ca1 Se1'
_cell_length_a 5.220
_cell_length_b 5.220
_cell_length_c 5.220
_cell_angle_alpha 60.00
_cell_angle_beta 60.00
_cell_angle_gamma 60.00
_space_group_name_H-M_alt 'P 1'
_space_group_IT_number 1
loop_
_space_group_symop_operation_xyz
'x,y,z'
loop_
_atom_site_label
_atom_site_type_symbol
_atom_site_fract_x
_atom_site_fract_y
_atom_site_fract_z
Ba1 Ba 0.000 0.000 0.000
Ca1 Ca 0.500 0.500 0.500
Se1 Se 0.750 0.750 0.750
```